# Ho2Cu2Pt | the Alexandria database | PBE-GGA | relaxed
data_Ho2Cu2Pt
_space_group_name_H-M_alt 'P 1'
_space_group_IT_number 1
_cell_length_a 7.073
_cell_length_b 7.073
_cell_length_c 3.811
_cell_angle_alpha 90.00
_cell_angle_beta 90.00
_cell_angle_gamma 90.00
loop_
_space_group_symop_operation_xyz
'x,y,z'
loop_
_atom_site_label
_atom_site_type_symbol
_atom_site_fract_x
_atom_site_fract_y
_atom_site_fract_z
Ho1 Ho 0.183 0.317 0.000
Ho2 Ho 0.317 0.817 0.000
Ho3 Ho 0.683 0.183 0.000
Ho4 Ho 0.817 0.683 0.000
Cu1 Cu 0.120 0.620 0.500
Cu2 Cu 0.380 0.120 0.500
Cu3 Cu 0.620 0.880 0.500
Cu4 Cu 0.880 0.380 0.500
Pt1 Pt 0.000 0.000 0.500
Pt2 Pt 0.500 0.500 0.500
# Space-group type ... No. 127
# Total magnetic moment ... 0.00 μB/cell
# Energy of formation ... -0.558 eV/atom
# E ... -52.4 eV for the cell shown

***

# Zr2ScFe | the Alexandria database | PBE-GGA | relaxed
data_Zr2ScFe
_space_group_name_H-M_alt 'P 1'
_space_group_IT_number 1
_cell_length_a 4.772
_cell_length_b 4.772
_cell_length_c 3.328
_cell_angle_alpha 90.00
_cell_angle_beta 90.00
_cell_angle_gamma 90.00
loop_
_space_group_symop_operation_xyz
'x,y,z'
loop_
_atom_site_label
_atom_site_type_symbol
_atom_site_fract_x
_atom_site_fract_y
_atom_site_fract_z
Zr1 Zr 0.000 0.500 0.000
Zr2 Zr 0.500 0.000 0.000
Sc1 Sc 0.000 0.000 0.500
Fe1 Fe 0.500 0.500 0.500
# Space-group type ... No. 123
# Total magnetic moment ... 0.00 μB/cell
# Energy of formation ... 0.149 eV/atom
# E ... -31.3 eV for the cell shown

***

Question: Among the records above, which one has the lowest energy of formation?
Answer: Ho2Cu2Pt